A plane-wave DFT calculation with meta-GGA SCAN was carried out for VOF2 at its PBEsol-relaxed geometry.

It has space group C2/c (No. 15), with a = 8.7364 Å, b = 5.2782 Å, c = 5.3380 Å, α = 90.00°, β = 126.07° and γ = 90.00°. The asymmetric unit holds V at (0.2500, 0.2500, 0.0000), O at (0.0000, 0.2006, 0.7500) and F at (0.2177, 0.4534, 0.2644).

The calculation puts the raw total energy at -169.49 eV for the cell shown. As for the magnetic moment: 4.00 Bohr magnetons per cell.